The following is a DFT calculation (PBE-GGA) of crystalline Mg6ZnHg3 at its relaxed geometry.

Results
The value obtained for the formation energy is -0.159 eV per atom. For the electronic total energy, the calculation gives -1.333 eV/atom.

Lattice parameters (Å, degrees): 4.935 8.274 10.885 111.02 90.00 90.00
Atoms (fractional coordinates):
Mg 0.250 0.465 0.077
Mg 0.250 0.151 0.171
Mg 0.750 0.752 0.507
Mg 0.750 0.148 0.699
Mg 0.250 0.081 0.866
Mg 0.750 0.333 0.330
Mg 0.250 0.248 0.493
Mg 0.250 0.667 0.670
Mg 0.750 0.535 0.923
Mg 0.250 0.852 0.301
Mg 0.750 0.919 0.134
Mg 0.750 0.849 0.829
Hg 0.250 0.374 0.783
Hg 0.250 0.533 0.373
Hg 0.750 0.213 0.024
Hg 0.750 0.626 0.217
Hg 0.250 0.787 0.976
Hg 0.750 0.467 0.627
Zn 0.750 0.043 0.416
Zn 0.250 0.957 0.584

***

The following is a DFT calculation (PBE-GGA) of crystalline Ca2LaAg2Ge2 at its relaxed geometry.

Results
The value obtained for the formation energy is -0.485 eV per atom. For the electronic total energy, the calculation gives -3.895 eV/atom.

Lattice parameters (Å, degrees): 4.647 4.647 9.690 76.13 76.13 60.00
Atoms (fractional coordinates):
Ag 0.594 0.594 0.219
Ag 0.406 0.406 0.781
Ca 0.871 0.871 0.386
Ca 0.129 0.129 0.614
Ge 0.741 0.741 0.776
Ge 0.259 0.259 0.224
La 0.000 0.000 0.000

***

The following is a DFT calculation (PBE-GGA) of crystalline SmMnWC3 at its relaxed geometry.

Results
The value obtained for the formation energy is 0.087 eV per atom. For the electronic total energy, the calculation gives -8.998 eV/atom.

Lattice parameters (Å, degrees): 3.291 6.821 7.434 105.16 90.00 90.00
Atoms (fractional coordinates):
Mn 0.250 0.105 0.606
Mn 0.750 0.895 0.394
W 0.750 0.349 0.867
W 0.250 0.651 0.133
Sm 0.750 0.813 0.796
Sm 0.250 0.187 0.204
C 0.250 0.124 0.859
C 0.750 0.876 0.141
C 0.250 0.550 0.842
C 0.250 0.824 0.467
C 0.750 0.450 0.158
C 0.750 0.176 0.533

***

The following is a DFT calculation (PBE-GGA) of crystalline LaTm2Fe at its relaxed geometry.

Results
The energy above the lowest structure with this stoichiometry comes out at 0.000 eV per formula unit. The value obtained for the formation energy is 0.032 eV per atom. For the electronic total energy, the calculation gives -5.552 eV/atom.

Lattice parameters (Å, degrees): 3.338 3.338 9.203 90.00 90.00 90.00
Atoms (fractional coordinates):
La 0.500 0.500 0.500
Fe 0.500 0.500 0.000
Tm 0.000 0.000 0.171
Tm 0.000 0.000 0.829

***

The following is a DFT calculation (PBE-GGA) of crystalline AsAuCBr2 at its relaxed geometry.

Results
The energy above the lowest structure with this stoichiometry comes out at 2.435 eV per formula unit. Its uncorrected formation energy is 1.791 eV/atom. For the electronic total energy, the calculation gives -2.308 eV/atom.

Lattice parameters (Å, degrees): 5.391 5.391 4.941 90.00 90.00 90.00
Site moments in Bohr magnetons follow the coordinates.
Atoms (fractional coordinates):
Br 0.000 0.500 0.000  0.05
Br 0.500 0.000 0.000  0.05
Au 0.000 0.000 0.000  0.04
As 0.000 0.000 0.500  0.25
C 0.500 0.500 0.500  0.91

***

The following is a DFT calculation (PBE-GGA) of crystalline RbMg2GaPt at its relaxed geometry.

Results
The value obtained for the formation energy is -0.352 eV per atom. For the electronic total energy, the calculation gives -2.997 eV/atom.

Lattice parameters (Å, degrees): 5.219 5.219 4.909 90.00 90.00 90.00
Atoms (fractional coordinates):
Mg 0.500 0.000 0.000
Mg 0.000 0.500 0.000
Rb 0.500 0.500 0.500
Ga 0.000 0.000 0.500
Pt 0.000 0.000 0.000

***

The following is a DFT calculation (PBE-GGA) of crystalline NaZnI2O at its relaxed geometry.

Results
The energy above the lowest structure with this stoichiometry comes out at 3.822 eV per formula unit. Its uncorrected formation energy is 0.136 eV/atom. For the electronic total energy, the calculation gives -1.994 eV/atom.

Lattice parameters (Å, degrees): 5.901 5.901 4.316 90.00 90.00 90.00
Site moments in Bohr magnetons follow the coordinates.
Atoms (fractional coordinates):
O 0.000 0.000 0.500  1.08
Zn 0.500 0.500 0.500  -0.02
I 0.000 0.500 0.000  0.10
I 0.500 0.000 0.000  0.10
Na 0.000 0.000 0.000  -0.01

***

The following is a DFT calculation (PBE-GGA) of crystalline AcTiSe3 at its relaxed geometry.

Results
The energy above the lowest structure with this stoichiometry comes out at 0.901 eV per formula unit. Its uncorrected formation energy is -1.400 eV/atom. For the electronic total energy, the calculation gives -5.891 eV/atom.

Lattice parameters (Å, degrees): 5.004 5.004 5.004 90.00 90.00 90.00
Site moments in Bohr magnetons follow the coordinates.
Atoms (fractional coordinates):
Ac 0.500 0.500 0.500  0.01
Ti 0.000 0.000 0.000  0.31
Se 0.500 0.000 0.000  0.00
Se 0.000 0.000 0.500  0.00
Se 0.000 0.500 0.000  0.00

***

The following is a DFT calculation (PBE-GGA) of crystalline V7Ga3Sn at its relaxed geometry.

Results
The value obtained for the formation energy is 0.056 eV per atom. For the electronic total energy, the calculation gives -6.936 eV/atom.

Lattice parameters (Å, degrees): 2.684 10.213 12.437 90.00 90.00 97.55
Atoms (fractional coordinates):
V 0.659 0.318 0.580
V 0.529 0.058 0.919
V 0.782 0.564 0.590
V 0.341 0.682 0.420
V 0.782 0.564 0.910
V 0.218 0.436 0.090
V 0.643 0.285 0.250
V 0.357 0.715 0.750
V 0.471 0.942 0.081
V 0.659 0.318 0.920
V 0.341 0.682 0.080
V 0.218 0.436 0.410
V 0.529 0.058 0.581
V 0.471 0.942 0.419
Sn 0.917 0.833 0.250
Sn 0.083 0.167 0.750
Ga 0.912 0.824 0.918
Ga 0.912 0.824 0.582
Ga 0.775 0.549 0.250
Ga 0.225 0.451 0.750
Ga 0.088 0.176 0.082
Ga 0.088 0.176 0.418

***

The following is a DFT calculation (PBE-GGA) of crystalline Sc8CoCu2 at its relaxed geometry.

Results
The energy above the lowest structure with this stoichiometry comes out at 0.818 eV per formula unit. The value obtained for the formation energy is -0.110 eV per atom. For the electronic total energy, the calculation gives -6.106 eV/atom.

Lattice parameters (Å, degrees): 5.082 8.609 8.609 136.86 99.83 99.83
Atoms (fractional coordinates):
Sc 0.834 0.746 0.746
Sc 0.955 0.200 0.806
Sc 0.603 0.412 0.180
Sc 0.955 0.806 0.200
Sc 0.074 0.260 0.260
Sc 0.305 0.826 0.594
Sc 0.305 0.594 0.826
Sc 0.603 0.180 0.412
Cu 0.455 0.744 0.262
Cu 0.455 0.262 0.744
Co 0.454 0.003 0.003

***

The following is a DFT calculation (PBE-GGA) of crystalline ZrBe2Ag at its relaxed geometry.

Results
The energy above the lowest structure with this stoichiometry comes out at 0.698 eV per formula unit. The value obtained for the formation energy is 0.187 eV per atom. For the electronic total energy, the calculation gives -4.526 eV/atom.

Lattice parameters (Å, degrees): 4.392 4.392 4.392 60.00 60.00 60.00
Atoms (fractional coordinates):
Be 0.250 0.250 0.250
Be 0.000 0.000 0.000
Ag 0.500 0.500 0.500
Zr 0.750 0.750 0.750

***

The following is a DFT calculation (PBE-GGA) of crystalline Ce3Pm2PuS6 at its relaxed geometry.

Results
Its uncorrected formation energy is -2.004 eV/atom. For the electronic total energy, the calculation gives -7.538 eV/atom.

Lattice parameters (Å, degrees): 4.005 8.051 8.994 103.33 102.87 90.00
Site moments in Bohr magnetons follow the coordinates.
Atoms (fractional coordinates):
S 0.001 0.755 0.001  0.04
S 0.665 0.083 0.330  0.01
S 0.999 0.245 0.999  0.04
S 0.333 0.417 0.666  -0.01
S 0.335 0.917 0.670  0.01
S 0.667 0.583 0.334  -0.01
Pu 0.500 0.000 0.000  -5.28
Pm 0.835 0.669 0.670  0.00
Pm 0.165 0.331 0.330  0.00
Ce 0.500 0.500 0.000  0.59
Ce 0.833 0.165 0.666  0.60
Ce 0.167 0.835 0.334  0.60

***

Taking the records one at a time from the top gives volume values of 415 174 161 103 144 134 150 125 338 228 60 275 Å³/cell.
Taking the records one at a time from the top gives spin magnetization values of 0.00 0.00 0.00 0.00 2.52 0.00 1.62 0.41 0.00 0.00 0.00 3.41 μB/f.u..